Record 1
The following is a PBE calculation of a relaxed structure of Ta3Ge, from Alexandria.

Cell and atoms, written as CIF:
```
data_Ta3Ge
_chemical_formula_sum 'Ta3 Ge1'
_space_group_name_H-M_alt 'P m m m'
_space_group_IT_number 47
_cell_length_a 3.6320
_cell_length_b 4.3616
_cell_length_c 4.3855
_cell_angle_alpha 90.00
_cell_angle_beta 90.00
_cell_angle_gamma 90.00
loop_
_space_group_symop_operation_xyz
'x,y,z'
'-x,-y,-z'
'-x,-y,z'
'x,y,-z'
'x,-y,-z'
'-x,y,z'
'-x,y,-z'
'x,-y,z'
loop_
_atom_site_label
_atom_site_type_symbol
_atom_site_fract_x
_atom_site_fract_y
_atom_site_fract_z
Ta1 Ta 0.0000 0.0000 0.0000
Ta2 Ta 0.0000 0.5000 0.5000
Ta3 Ta 0.5000 0.0000 0.5000
Ge1 Ge 0.5000 0.5000 0.0000
```

Properties
* volume: 69.5 Å³/cell
* Fermi-level density of states: 3.487 states/eV per cell
* energy of formation from the pure elements: -0.104 eV per atom
* magnetization: 0.0 μB per cell

Record 2
The following is a PBE calculation of a relaxed structure of TaGe, from Alexandria.

Cell and atoms, written as CIF:
```
data_TaGe
_chemical_formula_sum 'Ta4 Ge4'
_space_group_name_H-M_alt 'I m m m'
_space_group_IT_number 71
_space_group_name_Hall '-I 2 2'
_cell_length_a 3.3993
_cell_length_b 5.2229
_cell_length_c 7.9500
_cell_angle_alpha 90.00
_cell_angle_beta 90.00
_cell_angle_gamma 90.00
loop_
_atom_site_label
_atom_site_type_symbol
_atom_site_fract_x
_atom_site_fract_y
_atom_site_fract_z
Ta1 Ta 0.0000 0.0000 0.1969
Ge1 Ge 0.0000 0.2372 0.5000
```

Properties
* volume: 141.1 Å³/cell
* Fermi-level density of states: 1.491 states/eV per cell
* energy of formation from the pure elements: -0.220 eV per atom
* magnetization: 0.0 μB per cell

Record 3
The following is a PBE calculation of a relaxed structure of TaGe, from Alexandria.

Cell and atoms, written as CIF:
```
data_TaGe
_chemical_formula_sum 'Ta8 Ge8'
_space_group_name_H-M_alt 'I 4/m'
_space_group_IT_number 87
_space_group_name_Hall '-I 4'
_cell_length_a 9.5787
_cell_length_b 9.5787
_cell_length_c 3.2606
_cell_angle_alpha 90.00
_cell_angle_beta 90.00
_cell_angle_gamma 90.00
loop_
_atom_site_label
_atom_site_type_symbol
_atom_site_fract_x
_atom_site_fract_y
_atom_site_fract_z
Ta1 Ta 0.1169 0.3600 0.0000
Ge1 Ge 0.0877 0.8288 0.0000
```

Properties
* volume: 299.2 Å³/cell
* Fermi-level density of states: 10.371 states/eV per cell
* energy of formation from the pure elements: 0.078 eV per atom
* magnetization: 0.0 μB per cell

Record 4
The following is a PBE calculation of a relaxed structure of TaGe, from Alexandria.

Cell and atoms, written as CIF:
```
data_TaGe
_chemical_formula_sum 'Ta2 Ge2'
_space_group_name_H-M_alt 'C m m m'
_space_group_IT_number 65
_space_group_name_Hall '-C 2 2'
_cell_length_a 3.5458
_cell_length_b 4.8515
_cell_length_c 3.9615
_cell_angle_alpha 90.00
_cell_angle_beta 90.00
_cell_angle_gamma 90.00
loop_
_atom_site_label
_atom_site_type_symbol
_atom_site_fract_x
_atom_site_fract_y
_atom_site_fract_z
Ta1 Ta 0.0000 0.0000 0.0000
Ge1 Ge 0.0000 0.5000 0.5000
```

Properties
* volume: 68.1 Å³/cell
* Fermi-level density of states: 1.314 states/eV per cell
* energy of formation from the pure elements: -0.069 eV per atom
* magnetization: 0.0 μB per cell